Computed, not measured: a geometry-optimized VAgNF2 structure at the PBE with a Hubbard U level of DFT.

Values from the calculation:
ΔE to the lowest computed polymorph = 0.0 meV/atom
E = -5.47 eV/atom

a = 4.0648 Å, b = 4.0648 Å, c = 3.8265 Å
α = 90.00°, β = 90.00°, γ = 90.00°
With the nearest neighbours (Å) after each atom.
Element x y z (fractional)
1 V 0.0000 0.0000 0.0000  2 N 1.91, 4 F 2.03
2 Ag 0.5000 0.5000 0.5000  8 F 2.79, 4 N 2.87
3 N 0.0000 0.0000 0.5000  2 V 1.91
4 F 0.0000 0.5000 0.0000  2 V 2.03
5 F 0.5000 0.0000 0.0000  2 V 2.03